# TmNiRu, optimized geometry, DFT PBE
data_TmNiRu
_space_group_name_H-M_alt 'I m m a'
_space_group_IT_number 74
_space_group_name_Hall '-I 2b 2'
_cell_length_a 5.097
_cell_length_b 5.107
_cell_length_c 7.525
_cell_angle_alpha 90.00
_cell_angle_beta 90.00
_cell_angle_gamma 90.00
loop_
_atom_site_label
_atom_site_type_symbol
_atom_site_fract_x
_atom_site_fract_y
_atom_site_fract_z
Tm1 Tm 0.000 0.250 0.127
Ni1 Ni 0.250 0.250 0.750
Ru1 Ru 0.000 0.000 0.500
# V, Å³/atom: 16.3
# Total DFT energy (no corrections), eV/atom: -6.945
# Energy of formation, eV per atom: -0.435